# Y6TlPd2 (PBE, optimized geometry)
data_Y6TlPd2
_space_group_name_H-M_alt 'I m m m'
_space_group_IT_number 71
_space_group_name_Hall '-I 2 2'
_cell_length_a 9.508
_cell_length_b 9.861
_cell_length_c 10.408
_cell_angle_alpha 90.00
_cell_angle_beta 90.00
_cell_angle_gamma 90.00
loop_
_atom_site_label
_atom_site_type_symbol
_atom_site_fract_x
_atom_site_fract_y
_atom_site_fract_z
Y1 Y 0.000 0.200 0.236
Y2 Y 0.200 0.500 0.172
Y3 Y 0.210 0.317 0.500
Tl1 Tl 0.000 0.000 0.000
Tl2 Tl 0.000 0.000 0.500
Pd1 Pd 0.000 0.347 0.000
Pd2 Pd 0.000 0.500 0.367
# Calculated volume (Å³/cell): 976
# Raw total energy (eV per cell): -224.99

# Y5Tl4Pd (PBE, optimized geometry)
data_Y5Tl4Pd
_space_group_name_H-M_alt 'P 4/m m m'
_space_group_IT_number 123
_space_group_name_Hall '-P 4 2'
_cell_length_a 3.580
_cell_length_b 3.580
_cell_length_c 20.413
_cell_angle_alpha 90.00
_cell_angle_beta 90.00
_cell_angle_gamma 90.00
loop_
_atom_site_label
_atom_site_type_symbol
_atom_site_fract_x
_atom_site_fract_y
_atom_site_fract_z
Y1 Y 0.000 0.000 0.000
Y2 Y 0.000 0.000 0.208
Y3 Y 0.000 0.000 0.416
Tl1 Tl 0.500 0.500 0.104
Tl2 Tl 0.500 0.500 0.311
Pd1 Pd 0.500 0.500 0.500
# Calculated volume (Å³/cell): 262
# Raw total energy (eV per cell): -51.74

# YTlPd2 (PBE, optimized geometry)
data_YTlPd2
_space_group_name_H-M_alt 'F -4 3 m'
_space_group_IT_number 216
_space_group_name_Hall 'F -4 2 3'
_cell_length_a 6.858
_cell_length_b 6.858
_cell_length_c 6.858
_cell_angle_alpha 90.00
_cell_angle_beta 90.00
_cell_angle_gamma 90.00
loop_
_atom_site_label
_atom_site_type_symbol
_atom_site_fract_x
_atom_site_fract_y
_atom_site_fract_z
Y1 Y 0.000 0.000 0.000
Tl1 Tl 0.250 0.250 0.750
Pd1 Pd 0.000 0.000 0.500
Pd2 Pd 0.250 0.250 0.250
# Calculated volume (Å³/cell): 323
# Raw total energy (eV per cell): -84.19

# YTlPd (PBE, optimized geometry)
data_YTlPd
_space_group_name_H-M_alt 'P n m a'
_space_group_IT_number 62
_cell_length_a 7.024
_cell_length_b 4.634
_cell_length_c 8.372
_cell_angle_alpha 90.00
_cell_angle_beta 90.00
_cell_angle_gamma 90.00
loop_
_space_group_symop_operation_xyz
'x,y,z'
'-x,-y,-z'
'-x+1/2,-y,z+1/2'
'x+1/2,y,-z+1/2'
'x+1/2,-y+1/2,-z+1/2'
'-x+1/2,y+1/2,z+1/2'
'-x,y+1/2,-z'
'x,-y+1/2,z'
loop_
_atom_site_label
_atom_site_type_symbol
_atom_site_fract_x
_atom_site_fract_y
_atom_site_fract_z
Y1 Y 0.025 0.250 0.193
Tl1 Tl 0.167 0.250 0.568
Pd1 Pd 0.245 0.250 0.893
# Calculated volume (Å³/cell): 272
# Raw total energy (eV per cell): -63.47
# Energy relative to the lowest polymorph listed for this composition (meV/atom): 0

# YTlPd (PBE, optimized geometry)
data_YTlPd
_space_group_name_H-M_alt 'P n m a'
_space_group_IT_number 62
_cell_length_a 7.052
_cell_length_b 4.492
_cell_length_c 8.600
_cell_angle_alpha 90.00
_cell_angle_beta 90.00
_cell_angle_gamma 90.00
loop_
_space_group_symop_operation_xyz
'x,y,z'
'-x,-y,-z'
'-x+1/2,-y,z+1/2'
'x+1/2,y,-z+1/2'
'x+1/2,-y+1/2,-z+1/2'
'-x+1/2,y+1/2,z+1/2'
'-x,y+1/2,-z'
'x,-y+1/2,z'
loop_
_atom_site_label
_atom_site_type_symbol
_atom_site_fract_x
_atom_site_fract_y
_atom_site_fract_z
Y1 Y 0.039 0.250 0.186
Tl1 Tl 0.155 0.250 0.559
Pd1 Pd 0.238 0.250 0.875
# Calculated volume (Å³/cell): 272
# Raw total energy (eV per cell): -63.46
# Energy relative to the lowest polymorph listed for this composition (meV/atom): 1

# YTl2Pd (PBE, optimized geometry)
data_YTl2Pd
_space_group_name_H-M_alt 'F -4 3 m'
_space_group_IT_number 216
_space_group_name_Hall 'F -4 2 3'
_cell_length_a 7.195
_cell_length_b 7.195
_cell_length_c 7.195
_cell_angle_alpha 90.00
_cell_angle_beta 90.00
_cell_angle_gamma 90.00
loop_
_atom_site_label
_atom_site_type_symbol
_atom_site_fract_x
_atom_site_fract_y
_atom_site_fract_z
Y1 Y 0.000 0.000 0.000
Tl1 Tl 0.000 0.000 0.500
Tl2 Tl 0.250 0.250 0.250
Pd1 Pd 0.250 0.250 0.750
# Calculated volume (Å³/cell): 372
# Raw total energy (eV per cell): -70.55

# YTlPd (PBE, optimized geometry)
data_YTlPd
_space_group_name_H-M_alt 'F -4 3 m'
_space_group_IT_number 216
_space_group_name_Hall 'F -4 2 3'
_cell_length_a 6.863
_cell_length_b 6.863
_cell_length_c 6.863
_cell_angle_alpha 90.00
_cell_angle_beta 90.00
_cell_angle_gamma 90.00
loop_
_atom_site_label
_atom_site_type_symbol
_atom_site_fract_x
_atom_site_fract_y
_atom_site_fract_z
Y1 Y 0.000 0.000 0.000
Tl1 Tl 0.250 0.250 0.250
Pd1 Pd 0.250 0.250 0.750
# Calculated volume (Å³/cell): 323
# Raw total energy (eV per cell): -57.00
# Energy relative to the lowest polymorph listed for this composition (meV/atom): 539

# YTlPd3 (PBE, optimized geometry)
data_YTlPd3
_space_group_name_H-M_alt 'P 63/m m c'
_space_group_IT_number 194
_space_group_name_Hall '-P 6c 2c'
_cell_length_a 8.3592
_cell_length_b 8.3592
_cell_length_c 5.8326
_cell_angle_alpha 90.00
_cell_angle_beta 90.00
_cell_angle_gamma 120.00
loop_
_atom_site_label
_atom_site_type_symbol
_atom_site_fract_x
_atom_site_fract_y
_atom_site_fract_z
Y1 Y 0.3333 0.6667 0.2500
Tl1 Tl 0.0000 0.0000 0.0000
Pd1 Pd 0.1590 0.3181 0.2500
# Calculated volume (Å³/cell): 353
# Raw total energy (eV per cell): -42.34

# YTlPd (PBE, optimized geometry)
data_YTlPd
_space_group_name_H-M_alt 'F -4 3 m'
_space_group_IT_number 216
_space_group_name_Hall 'F -4 2 3'
_cell_length_a 6.779
_cell_length_b 6.779
_cell_length_c 6.779
_cell_angle_alpha 90.00
_cell_angle_beta 90.00
_cell_angle_gamma 90.00
loop_
_atom_site_label
_atom_site_type_symbol
_atom_site_fract_x
_atom_site_fract_y
_atom_site_fract_z
Y1 Y 0.000 0.000 0.000
Tl1 Tl 0.250 0.250 0.750
Pd1 Pd 0.000 0.000 0.500
# Calculated volume (Å³/cell): 311
# Raw total energy (eV per cell): -57.76
# Energy relative to the lowest polymorph listed for this composition (meV/atom): 476

# TlZnPd2 (PBE, optimized geometry)
data_TlZnPd2
_space_group_name_H-M_alt 'F -4 3 m'
_space_group_IT_number 216
_space_group_name_Hall 'F -4 2 3'
_cell_length_a 6.494
_cell_length_b 6.494
_cell_length_c 6.494
_cell_angle_alpha 90.00
_cell_angle_beta 90.00
_cell_angle_gamma 90.00
loop_
_atom_site_label
_atom_site_type_symbol
_atom_site_fract_x
_atom_site_fract_y
_atom_site_fract_z
Tl1 Tl 0.000 0.000 0.000
Zn1 Zn 0.250 0.250 0.250
Pd1 Pd 0.000 0.000 0.500
Pd2 Pd 0.250 0.250 0.750
# Calculated volume (Å³/cell): 274
# Raw total energy (eV per cell): -57.89

# TlZn2Pd (PBE, optimized geometry)
data_TlZn2Pd
_space_group_name_H-M_alt 'F -4 3 m'
_space_group_IT_number 216
_space_group_name_Hall 'F -4 2 3'
_cell_length_a 6.571
_cell_length_b 6.571
_cell_length_c 6.571
_cell_angle_alpha 90.00
_cell_angle_beta 90.00
_cell_angle_gamma 90.00
loop_
_atom_site_label
_atom_site_type_symbol
_atom_site_fract_x
_atom_site_fract_y
_atom_site_fract_z
Tl1 Tl 0.000 0.000 0.000
Zn1 Zn 0.000 0.000 0.500
Zn2 Zn 0.250 0.250 0.750
Pd1 Pd 0.250 0.250 0.250
# Calculated volume (Å³/cell): 284
# Raw total energy (eV per cell): -40.10

# Tl2ZnPd (PBE, optimized geometry)
data_Tl2ZnPd
_space_group_name_H-M_alt 'F -4 3 m'
_space_group_IT_number 216
_space_group_name_Hall 'F -4 2 3'
_cell_length_a 7.067
_cell_length_b 7.067
_cell_length_c 7.067
_cell_angle_alpha 90.00
_cell_angle_beta 90.00
_cell_angle_gamma 90.00
loop_
_atom_site_label
_atom_site_type_symbol
_atom_site_fract_x
_atom_site_fract_y
_atom_site_fract_z
Tl1 Tl 0.000 0.000 0.000
Tl2 Tl 0.250 0.250 0.250
Zn1 Zn 0.250 0.250 0.750
Pd1 Pd 0.000 0.000 0.500
# Calculated volume (Å³/cell): 353
# Raw total energy (eV per cell): -42.68

# ZrTlPd (PBE, optimized geometry)
data_ZrTlPd
_space_group_name_H-M_alt 'F -4 3 m'
_space_group_IT_number 216
_space_group_name_Hall 'F -4 2 3'
_cell_length_a 6.521
_cell_length_b 6.521
_cell_length_c 6.521
_cell_angle_alpha 90.00
_cell_angle_beta 90.00
_cell_angle_gamma 90.00
loop_
_atom_site_label
_atom_site_type_symbol
_atom_site_fract_x
_atom_site_fract_y
_atom_site_fract_z
Zr1 Zr 0.000 0.000 0.000
Tl1 Tl 0.250 0.250 0.750
Pd1 Pd 0.000 0.000 0.500
# Calculated volume (Å³/cell): 277
# Raw total energy (eV per cell): -62.43

# Zr2TlPd (PBE, optimized geometry)
data_Zr2TlPd
_space_group_name_H-M_alt 'F -4 3 m'
_space_group_IT_number 216
_space_group_name_Hall 'F -4 2 3'
_cell_length_a 6.943
_cell_length_b 6.943
_cell_length_c 6.943
_cell_angle_alpha 90.00
_cell_angle_beta 90.00
_cell_angle_gamma 90.00
loop_
_atom_site_label
_atom_site_type_symbol
_atom_site_fract_x
_atom_site_fract_y
_atom_site_fract_z
Zr1 Zr 0.000 0.000 0.000
Zr2 Zr 0.250 0.250 0.250
Tl1 Tl 0.000 0.000 0.500
Pd1 Pd 0.250 0.250 0.750
# Calculated volume (Å³/cell): 335
# Raw total energy (eV per cell): -99.20

# ZrTl2Pd (PBE, optimized geometry)
data_ZrTl2Pd
_space_group_name_H-M_alt 'F -4 3 m'
_space_group_IT_number 216
_space_group_name_Hall 'F -4 2 3'
_cell_length_a 7.028
_cell_length_b 7.028
_cell_length_c 7.028
_cell_angle_alpha 90.00
_cell_angle_beta 90.00
_cell_angle_gamma 90.00
loop_
_atom_site_label
_atom_site_type_symbol
_atom_site_fract_x
_atom_site_fract_y
_atom_site_fract_z
Zr1 Zr 0.000 0.000 0.000
Tl1 Tl 0.000 0.000 0.500
Tl2 Tl 0.250 0.250 0.750
Pd1 Pd 0.250 0.250 0.250
# Calculated volume (Å³/cell): 347
# Raw total energy (eV per cell): -73.88

# TmPd (PBE, optimized geometry)
data_TmPd
_space_group_name_H-M_alt 'P 63/m m c'
_space_group_IT_number 194
_space_group_name_Hall '-P 6c 2c'
_cell_length_a 4.2921
_cell_length_b 4.2921
_cell_length_c 5.7079
_cell_angle_alpha 90.00
_cell_angle_beta 90.00
_cell_angle_gamma 120.00
loop_
_atom_site_label
_atom_site_type_symbol
_atom_site_fract_x
_atom_site_fract_y
_atom_site_fract_z
Tm1 Tm 0.3333 0.6667 0.2500
Pd1 Pd 0.0000 0.0000 0.0000
# Calculated volume (Å³/cell): 91
# Raw total energy (eV per cell): -22.78

# TmPd (PBE, optimized geometry)
data_TmPd
_space_group_name_H-M_alt 'F -4 3 m'
_space_group_IT_number 216
_space_group_name_Hall 'F -4 2 3'
_cell_length_a 6.226
_cell_length_b 6.226
_cell_length_c 6.226
_cell_angle_alpha 90.00
_cell_angle_beta 90.00
_cell_angle_gamma 90.00
loop_
_atom_site_label
_atom_site_type_symbol
_atom_site_fract_x
_atom_site_fract_y
_atom_site_fract_z
Tm1 Tm 0.000 0.000 0.000
Pd1 Pd 0.250 0.250 0.250
# Calculated volume (Å³/cell): 241
# Raw total energy (eV per cell): -39.78

# Tm2Pd (PBE, optimized geometry)
data_Tm2Pd
_space_group_name_H-M_alt 'P -6 2 m'
_space_group_IT_number 189
_space_group_name_Hall 'P -6 -2'
_cell_length_a 7.3882
_cell_length_b 7.3882
_cell_length_c 4.5576
_cell_angle_alpha 90.00
_cell_angle_beta 90.00
_cell_angle_gamma 120.00
loop_
_atom_site_label
_atom_site_type_symbol
_atom_site_fract_x
_atom_site_fract_y
_atom_site_fract_z
Tm1 Tm 0.0000 0.4073 0.0000
Tm2 Tm 0.0000 0.7388 0.5000
Pd1 Pd 0.0000 0.0000 0.0000
Pd2 Pd 0.3333 0.6667 0.5000
# Calculated volume (Å³/cell): 215
# Raw total energy (eV per cell): -47.82

# Tm3Pd5 (PBE, optimized geometry)
data_Tm3Pd5
_space_group_name_H-M_alt 'C m c m'
_space_group_IT_number 63
_space_group_name_Hall '-C 2c 2'
_cell_length_a 9.093
_cell_length_b 7.060
_cell_length_c 9.454
_cell_angle_alpha 90.00
_cell_angle_beta 90.00
_cell_angle_gamma 90.00
loop_
_atom_site_label
_atom_site_type_symbol
_atom_site_fract_x
_atom_site_fract_y
_atom_site_fract_z
Tm1 Tm 0.000 0.109 0.250
Tm2 Tm 0.205 0.500 0.000
Pd1 Pd 0.000 0.193 0.543
Pd2 Pd 0.000 0.492 0.750
Pd3 Pd 0.226 0.223 0.750
# Calculated volume (Å³/cell): 607
# Raw total energy (eV per cell): -188.59

# TmPd2 (PBE, optimized geometry)
data_TmPd2
_space_group_name_H-M_alt 'F m -3 m'
_space_group_IT_number 225
_space_group_name_Hall '-F 4 2 3'
_cell_length_a 6.354
_cell_length_b 6.354
_cell_length_c 6.354
_cell_angle_alpha 90.00
_cell_angle_beta 90.00
_cell_angle_gamma 90.00
loop_
_atom_site_label
_atom_site_type_symbol
_atom_site_fract_x
_atom_site_fract_y
_atom_site_fract_z
Tm1 Tm 0.000 0.000 0.000
Pd1 Pd 0.250 0.250 0.250
# Calculated volume (Å³/cell): 256
# Raw total energy (eV per cell): -65.14